K4Rb3I8 | PBE | optimized geometry

Crystal system: monoclinic

abc: 10.349 10.349 10.243
angles: 119.64 119.64 90.05
Sites, in units of the cell vectors:
K  0.000  0.000  0.000
K  0.000  0.000  0.500
K  0.000  0.500  0.000
K  0.500  0.000  0.000
Rb  0.000  0.500  0.500
Rb  0.500  0.000  0.500
Rb  0.500  0.500  0.500
I  0.236  0.236  0.481
I  0.238  0.238  0.991
I  0.241  0.759  0.000
I  0.247  0.753  0.500
I  0.753  0.247  0.500
I  0.759  0.241  0.000
I  0.762  0.762  0.009
I  0.764  0.764  0.519

=====

KRbI2 | PBE | optimized geometry

Crystal system: tetragonal
Polymorph energy (0 for the lowest one), meV per atom: 60

abc: 4.407 4.407 8.831
angles: 90.00 90.00 90.00
Sites, in units of the cell vectors:
K  0.000  0.000  0.000
Rb  0.000  0.000  0.500
I  0.500  0.500  0.243
I  0.500  0.500  0.757

=====

K3RbI3 | PBE | optimized geometry

Crystal system: cubic

abc: 9.775 9.775 9.775
angles: 90.00 90.00 90.00
Sites, in units of the cell vectors:
K  0.000  0.250  0.500
K  0.000  0.750  0.500
K  0.250  0.500  0.000
K  0.500  0.000  0.250
K  0.500  0.000  0.750
K  0.750  0.500  0.000
Rb  0.000  0.000  0.000
Rb  0.500  0.500  0.500
I  0.000  0.500  0.250
I  0.000  0.500  0.750
I  0.250  0.000  0.500
I  0.500  0.250  0.000
I  0.500  0.750  0.000
I  0.750  0.000  0.500

=====

K2RbI2 | PBE | optimized geometry

Crystal system: tetragonal
Polymorph energy (0 for the lowest one), meV per atom: 0

abc: 10.015 10.015 4.955
angles: 90.00 90.00 90.00
Sites, in units of the cell vectors:
K  0.150  0.350  0.000
K  0.350  0.850  0.000
K  0.650  0.150  0.000
K  0.850  0.650  0.000
Rb  0.000  0.000  0.500
Rb  0.500  0.500  0.500
I  0.152  0.652  0.500
I  0.348  0.152  0.500
I  0.652  0.848  0.500
I  0.848  0.348  0.500

=====

KRbI2 | PBE | optimized geometry

Crystal system: tetragonal
Polymorph energy (0 for the lowest one), meV per atom: 89

abc: 9.903 9.903 9.903
angles: 131.06 131.06 71.73
Sites, in units of the cell vectors:
K  0.000  0.000  0.000
K  0.750  0.250  0.500
Rb  0.250  0.750  0.500
Rb  0.500  0.500  0.000
I  0.109  0.625  0.984
I  0.375  0.359  0.484
I  0.641  0.125  0.016
I  0.875  0.891  0.516

=====

KRb4I5 | PBE | optimized geometry

Crystal system: tetragonal

abc: 18.892 18.892 18.892
angles: 164.04 164.04 22.65
Sites, in units of the cell vectors:
K  0.000  0.000  0.000
Rb  0.199  0.199  0.000
Rb  0.401  0.401  0.000
Rb  0.599  0.599  0.000
Rb  0.801  0.801  0.000
I  0.097  0.097  0.000
I  0.300  0.300  0.000
I  0.500  0.500  0.000
I  0.700  0.700  0.000
I  0.903  0.903  0.000

=====

no.,ΔE_f (raw) (meV/atom),total magnetic moment (μB/cell)
1,-1311,1.14
2,-1430,0.00
3,-1120,0.84
4,-1066,0.76
5,-1402,0.00
6,-1494,0.00